## La4Tl3 (PBE)

Data for crystalline La4Tl3 at its relaxed geometry.

Computed properties:
D(E_F) ... 9.75 states/eV/cell
Spin magnetization ... 0.0 μB/cell
Electronic total energy ... -4.113 eV per atom
Space group ... No. 166
Distance to the lowest polymorph of the same formula ... 73 meV/atom

Cell and atoms, written as CIF:
```
data_La4Tl3
_chemical_formula_sum 'La4 Tl3'
_space_group_name_H-M_alt 'P 1'
_space_group_IT_number 1
_space_group_name_Hall 'P 1'
_cell_length_a 9.5285
_cell_length_b 9.5285
_cell_length_c 9.5285
_cell_angle_alpha 33.86
_cell_angle_beta 33.86
_cell_angle_gamma 33.86
loop_
_atom_site_label
_atom_site_type_symbol
_atom_site_fract_x
_atom_site_fract_y
_atom_site_fract_z
_atom_site_occupancy
La1 La 0.1186 0.1186 0.1186 1
La2 La 0.3707 0.3707 0.3707 1
La3 La 0.6293 0.6293 0.6293 1
La4 La 0.8814 0.8814 0.8814 1
Tl1 Tl 0.2487 0.2487 0.2487 1
Tl2 Tl 0.5000 0.5000 0.5000 1
Tl3 Tl 0.7513 0.7513 0.7513 1
```

=====

## La2Tl (PBE)

Data for crystalline La2Tl at its relaxed geometry.

Computed properties:
D(E_F) ... 15.88 states/eV/cell
Spin magnetization ... 0.0 μB/cell
Electronic total energy ... -4.382 eV per atom
Space group ... No. 62

Cell and atoms, written as CIF:
```
data_La2Tl
_chemical_formula_sum 'La8 Tl4'
_space_group_name_H-M_alt 'P 1'
_space_group_IT_number 1
_space_group_name_Hall 'P 1'
_cell_length_a 7.0496
_cell_length_b 5.5211
_cell_length_c 10.2405
_cell_angle_alpha 90.00
_cell_angle_beta 90.00
_cell_angle_gamma 90.00
loop_
_atom_site_label
_atom_site_type_symbol
_atom_site_fract_x
_atom_site_fract_y
_atom_site_fract_z
_atom_site_occupancy
La1 La 0.0191 0.2500 0.2050 1
La2 La 0.2088 0.2500 0.5771 1
La3 La 0.2912 0.7500 0.0771 1
La4 La 0.4809 0.7500 0.7050 1
La5 La 0.5191 0.2500 0.2950 1
La6 La 0.7088 0.2500 0.9229 1
La7 La 0.7912 0.7500 0.4229 1
La8 La 0.9809 0.7500 0.7950 1
Tl1 Tl 0.2291 0.2500 0.8985 1
Tl2 Tl 0.2709 0.7500 0.3985 1
Tl3 Tl 0.7291 0.2500 0.6015 1
Tl4 Tl 0.7709 0.7500 0.1015 1
```

=====

## La3Tl5 (PBE)

Data for crystalline La3Tl5 at its relaxed geometry.

Computed properties:
D(E_F) ... 7.57 states/eV/cell
Spin magnetization ... 0.0 μB/cell
Electronic total energy ... -3.698 eV per atom
Space group ... No. 65
Distance to the lowest polymorph of the same formula ... 49 meV/atom

Cell and atoms, written as CIF:
```
data_La3Tl5
_chemical_formula_sum 'La3 Tl5'
_space_group_name_H-M_alt 'P 1'
_space_group_IT_number 1
_space_group_name_Hall 'P 1'
_cell_length_a 6.9003
_cell_length_b 6.9003
_cell_length_c 5.2408
_cell_angle_alpha 90.00
_cell_angle_beta 90.00
_cell_angle_gamma 99.49
loop_
_atom_site_label
_atom_site_type_symbol
_atom_site_fract_x
_atom_site_fract_y
_atom_site_fract_z
_atom_site_occupancy
La1 La 0.0000 0.0000 0.0000 1
La2 La 0.2838 0.7162 0.5000 1
La3 La 0.7162 0.2838 0.5000 1
Tl1 Tl 0.0000 0.5000 0.0000 1
Tl2 Tl 0.2261 0.2261 0.5000 1
Tl3 Tl 0.5000 0.0000 0.0000 1
Tl4 Tl 0.5000 0.5000 0.0000 1
Tl5 Tl 0.7739 0.7739 0.5000 1
```

=====

## La2Tl (PBE)

Data for crystalline La2Tl at its relaxed geometry.

Computed properties:
D(E_F) ... 8.27 states/eV/cell
Spin magnetization ... 0.3 μB/cell
Electronic total energy ... -4.374 eV per atom
Space group ... No. 194

Cell and atoms, written as CIF:
```
data_La2Tl
_chemical_formula_sum 'La4 Tl2'
_space_group_name_H-M_alt 'P 1'
_space_group_IT_number 1
_space_group_name_Hall 'P 1'
_cell_length_a 5.6585
_cell_length_b 5.6585
_cell_length_c 7.0880
_cell_angle_alpha 90.00
_cell_angle_beta 90.00
_cell_angle_gamma 120.00
loop_
_atom_site_label
_atom_site_type_symbol
_atom_site_fract_x
_atom_site_fract_y
_atom_site_fract_z
_atom_site_occupancy
La1 La 0.0000 0.0000 0.0000 1
La2 La 0.0000 0.0000 0.5000 1
La3 La 0.3333 0.6667 0.2500 1
La4 La 0.6667 0.3333 0.7500 1
Tl1 Tl 0.3333 0.6667 0.7500 1
Tl2 Tl 0.6667 0.3333 0.2500 1
```

=====

## La2Tl3 (PBE)

Data for crystalline La2Tl3 at its relaxed geometry.

Computed properties:
D(E_F) ... 3.53 states/eV/cell
Spin magnetization ... 0.0 μB/cell
Electronic total energy ... -3.716 eV per atom
Space group ... No. 166

Cell and atoms, written as CIF:
```
data_La2Tl3
_chemical_formula_sum 'La2 Tl3'
_space_group_name_H-M_alt 'P 1'
_space_group_IT_number 1
_space_group_name_Hall 'P 1'
_cell_length_a 7.0619
_cell_length_b 7.0619
_cell_length_c 7.0619
_cell_angle_alpha 44.43
_cell_angle_beta 44.43
_cell_angle_gamma 44.43
loop_
_atom_site_label
_atom_site_type_symbol
_atom_site_fract_x
_atom_site_fract_y
_atom_site_fract_z
_atom_site_occupancy
La1 La 0.0997 0.0997 0.0997 1
La2 La 0.9003 0.9003 0.9003 1
Tl1 Tl 0.3053 0.3053 0.3053 1
Tl2 Tl 0.5000 0.5000 0.5000 1
Tl3 Tl 0.6947 0.6947 0.6947 1
```

=====

## La3Tl5 (PBE)

Data for crystalline La3Tl5 at its relaxed geometry.

Computed properties:
D(E_F) ... 11.24 states/eV/cell
Spin magnetization ... 0.0 μB/cell
Electronic total energy ... -3.660 eV per atom
Space group ... No. 8
Distance to the lowest polymorph of the same formula ... 87 meV/atom

Cell and atoms, written as CIF:
```
data_La3Tl5
_chemical_formula_sum 'La6 Tl10'
_space_group_name_H-M_alt 'P 1'
_space_group_IT_number 1
_space_group_name_Hall 'P 1'
_cell_length_a 9.4425
_cell_length_b 9.4425
_cell_length_c 9.0049
_cell_angle_alpha 95.22
_cell_angle_beta 95.22
_cell_angle_gamma 140.50
loop_
_atom_site_label
_atom_site_type_symbol
_atom_site_fract_x
_atom_site_fract_y
_atom_site_fract_z
_atom_site_occupancy
La1 La 0.0000 0.0000 0.0000 1
La2 La 0.5315 0.5315 0.6311 1
La3 La 0.5395 0.9939 0.8165 1
La4 La 0.6033 0.9288 0.3154 1
La5 La 0.9288 0.6033 0.3154 1
La6 La 0.9939 0.5395 0.8165 1
Tl1 Tl 0.0010 0.3485 0.1316 1
Tl2 Tl 0.0366 0.0366 0.3756 1
Tl3 Tl 0.1249 0.9362 0.6816 1
Tl4 Tl 0.1850 0.5342 0.5015 1
Tl5 Tl 0.3485 0.0010 0.1316 1
Tl6 Tl 0.4070 0.5950 0.9495 1
Tl7 Tl 0.4953 0.4953 0.2558 1
Tl8 Tl 0.5342 0.1850 0.5015 1
Tl9 Tl 0.5950 0.4070 0.9495 1
Tl10 Tl 0.9362 0.1249 0.6816 1
```

=====

## La4Tl (PBE)

Data for crystalline La4Tl at its relaxed geometry.

Computed properties:
D(E_F) ... 12.06 states/eV/cell
Spin magnetization ... 0.0 μB/cell
Electronic total energy ... -4.590 eV per atom
Space group ... No. 12
Distance to the lowest polymorph of the same formula ... 0 meV/atom

Cell and atoms, written as CIF:
```
data_La4Tl
_chemical_formula_sum 'La8 Tl2'
_space_group_name_H-M_alt 'P 1'
_space_group_IT_number 1
_space_group_name_Hall 'P 1'
_cell_length_a 6.2894
_cell_length_b 6.2894
_cell_length_c 11.5520
_cell_angle_alpha 90.01
_cell_angle_beta 90.01
_cell_angle_gamma 46.74
loop_
_atom_site_label
_atom_site_type_symbol
_atom_site_fract_x
_atom_site_fract_y
_atom_site_fract_z
_atom_site_occupancy
La1 La 0.0413 0.0413 0.1575 1
La2 La 0.1575 0.1575 0.4585 1
La3 La 0.3424 0.3424 0.0414 1
La4 La 0.4582 0.4582 0.3424 1
La5 La 0.5418 0.5418 0.6576 1
La6 La 0.6576 0.6576 0.9586 1
La7 La 0.8425 0.8425 0.5415 1
La8 La 0.9587 0.9587 0.8425 1
Tl1 Tl 0.2503 0.2503 0.7500 1
Tl2 Tl 0.7497 0.7497 0.2500 1
```

=====

## La2Tl (PBE)

Data for crystalline La2Tl at its relaxed geometry.

Computed properties:
D(E_F) ... 7.07 states/eV/cell
Spin magnetization ... 0.0 μB/cell
Electronic total energy ... -4.355 eV per atom
Space group ... No. 63

Cell and atoms, written as CIF:
```
data_La2Tl
_chemical_formula_sum 'La4 Tl2'
_space_group_name_H-M_alt 'P 1'
_space_group_IT_number 1
_space_group_name_Hall 'P 1'
_cell_length_a 9.0297
_cell_length_b 9.0297
_cell_length_c 5.7334
_cell_angle_alpha 90.00
_cell_angle_beta 90.00
_cell_angle_gamma 155.86
loop_
_atom_site_label
_atom_site_type_symbol
_atom_site_fract_x
_atom_site_fract_y
_atom_site_fract_z
_atom_site_occupancy
La1 La 0.0629 0.9371 0.7500 1
La2 La 0.2635 0.7365 0.2500 1
La3 La 0.7365 0.2635 0.7500 1
La4 La 0.9371 0.0629 0.2500 1
Tl1 Tl 0.3961 0.6039 0.7500 1
Tl2 Tl 0.6039 0.3961 0.2500 1
```

=====

## LaTl6 (PBE)

Data for crystalline LaTl6 at its relaxed geometry.

Computed properties:
D(E_F) ... 7.87 states/eV/cell
Spin magnetization ... 0.3 μB/cell
Electronic total energy ... -2.304 eV per atom
Space group ... No. 229

Cell and atoms, written as CIF:
```
data_LaTl6
_chemical_formula_sum 'La1 Tl6'
_space_group_name_H-M_alt 'P 1'
_space_group_IT_number 1
_space_group_name_Hall 'P 1'
_cell_length_a 7.1982
_cell_length_b 7.1982
_cell_length_c 7.1982
_cell_angle_alpha 109.47
_cell_angle_beta 109.47
_cell_angle_gamma 109.47
loop_
_atom_site_label
_atom_site_type_symbol
_atom_site_fract_x
_atom_site_fract_y
_atom_site_fract_z
_atom_site_occupancy
La1 La 0.0000 0.0000 0.0000 1
Tl1 Tl 0.2500 0.5000 0.7500 1
Tl2 Tl 0.2500 0.7500 0.5000 1
Tl3 Tl 0.5000 0.2500 0.7500 1
Tl4 Tl 0.5000 0.7500 0.2500 1
Tl5 Tl 0.7500 0.2500 0.5000 1
Tl6 Tl 0.7500 0.5000 0.2500 1
```

=====

## La5Tl3 (PBE)

Data for crystalline La5Tl3 at its relaxed geometry.

Computed properties:
D(E_F) ... 10.05 states/eV/cell
Spin magnetization ... 0.0 μB/cell
Electronic total energy ... -4.258 eV per atom
Space group ... No. 65
Distance to the lowest polymorph of the same formula ... 64 meV/atom

Cell and atoms, written as CIF:
```
data_La5Tl3
_chemical_formula_sum 'La5 Tl3'
_space_group_name_H-M_alt 'P 1'
_space_group_IT_number 1
_space_group_name_Hall 'P 1'
_cell_length_a 7.0474
_cell_length_b 7.0474
_cell_length_c 5.2261
_cell_angle_alpha 90.00
_cell_angle_beta 90.00
_cell_angle_gamma 95.20
loop_
_atom_site_label
_atom_site_type_symbol
_atom_site_fract_x
_atom_site_fract_y
_atom_site_fract_z
_atom_site_occupancy
La1 La 0.0000 0.0000 0.0000 1
La2 La 0.0000 0.5000 0.0000 1
La3 La 0.2686 0.2686 0.5000 1
La4 La 0.5000 0.0000 0.0000 1
La5 La 0.7314 0.7314 0.5000 1
Tl1 Tl 0.2301 0.7699 0.5000 1
Tl2 Tl 0.5000 0.5000 0.0000 1
Tl3 Tl 0.7699 0.2301 0.5000 1
```

=====

## La4Tl (PBE)

Data for crystalline La4Tl at its relaxed geometry.

Computed properties:
D(E_F) ... 8.91 states/eV/cell
Spin magnetization ... 1.6 μB/cell
Electronic total energy ... -4.153 eV per atom
Space group ... No. 229
Distance to the lowest polymorph of the same formula ... 436 meV/atom

Cell and atoms, written as CIF:
```
data_La4Tl
_chemical_formula_sum 'La4 Tl1'
_space_group_name_H-M_alt 'P 1'
_space_group_IT_number 1
_space_group_name_Hall 'P 1'
_cell_length_a 6.4460
_cell_length_b 6.4460
_cell_length_c 6.4460
_cell_angle_alpha 109.47
_cell_angle_beta 109.47
_cell_angle_gamma 109.47
loop_
_atom_site_label
_atom_site_type_symbol
_atom_site_fract_x
_atom_site_fract_y
_atom_site_fract_z
_atom_site_occupancy
La1 La 0.0000 0.0000 0.5000 1
La2 La 0.0000 0.5000 0.0000 1
La3 La 0.5000 0.0000 0.0000 1
La4 La 0.5000 0.5000 0.5000 1
Tl1 Tl 0.0000 0.0000 0.0000 1
```

=====

## La4Tl (PBE)

Data for crystalline La4Tl at its relaxed geometry.

Computed properties:
D(E_F) ... 10.49 states/eV/cell
Spin magnetization ... 0.2 μB/cell
Electronic total energy ... -4.102 eV per atom
Space group ... No. 221
Distance to the lowest polymorph of the same formula ... 488 meV/atom

Cell and atoms, written as CIF:
```
data_La4Tl
_chemical_formula_sum 'La4 Tl1'
_space_group_name_H-M_alt 'P 1'
_space_group_IT_number 1
_space_group_name_Hall 'P 1'
_cell_length_a 6.0777
_cell_length_b 6.0777
_cell_length_c 6.0777
_cell_angle_alpha 90.00
_cell_angle_beta 90.00
_cell_angle_gamma 90.00
loop_
_atom_site_label
_atom_site_type_symbol
_atom_site_fract_x
_atom_site_fract_y
_atom_site_fract_z
_atom_site_occupancy
La1 La 0.0000 0.0000 0.0000 1
La2 La 0.0000 0.5000 0.5000 1
La3 La 0.5000 0.0000 0.5000 1
La4 La 0.5000 0.5000 0.0000 1
Tl1 Tl 0.5000 0.5000 0.5000 1
```